(1)
Here is an optimized crystal structure of Mg2ZrAl from the Alexandria database. Energies are from PBE.

It has space group I4/mmm (No. 139), with a = 4.1364 Å, b = 4.1364 Å, c = 9.7613 Å, α = 90.00°, β = 90.00° and γ = 90.00°. The inequivalent atoms are Mg at (0.0000, 0.5000, 0.2500), Zr at (0.0000, 0.0000, 0.0000) and Al at (0.0000, 0.0000, 0.5000).

The calculation puts the energy relative to the elements at -0.04 eV/atom.

=====

(2)
Here is an optimized crystal structure of Pr6SeS2N3 from the Alexandria database. Energies are from PBE.

It has space group C2/m (No. 12), with a = 17.3934 Å, b = 3.8451 Å, c = 8.0190 Å, α = 90.00°, β = 106.90° and γ = 90.00°. The inequivalent atoms are Pr at (0.0097, 0.0000, 0.2229), Pr at (0.1589, 0.5000, 0.1032), Pr at (0.1776, 0.5000, 0.5631), Se at (0.0000, 0.5000, 0.5000), S at (0.1665, 0.0000, 0.8322), N at (0.0000, 0.5000, 0.0000) and N at (0.1671, 0.0000, 0.3310).

Its raw formation energy is -1.64 eV/atom.

=====

(3)
Here is an optimized crystal structure of ScIrCl2 from the Alexandria database. Energies are from PBE.

It has space group Immm (No. 71), with a = 3.3971 Å, b = 4.2715 Å, c = 13.7998 Å, α = 90.00°, β = 90.00° and γ = 90.00°. The inequivalent atoms are Sc at (0.0000, 0.0000, 0.0000), Ir at (0.0000, 0.0000, 0.5000) and Cl at (0.0000, 0.5000, 0.3611).

Its raw formation energy is -0.56 eV/atom. The value obtained for the polymorph energy (0 for the lowest one) is 364 meV/atom.

=====

(4)
Here is an optimized crystal structure of Sb2OsW from the Alexandria database. Energies are from PBE.

It has space group P4mm (No. 99), with a = 3.0286 Å, b = 3.0286 Å, c = 9.2123 Å, α = 90.00°, β = 90.00° and γ = 90.00°. The inequivalent atoms are Sb at (0.0000, 0.0000, 0.0000), Sb at (0.5000, 0.5000, 0.3870), Os at (0.5000, 0.5000, 0.7964) and W at (0.0000, 0.0000, 0.6129).

Its raw formation energy is 0.24 eV/atom. The value obtained for the polymorph energy (0 for the lowest one) is 0 meV/atom.

=====

(5)
Here is an optimized crystal structure of BiIrS2 from the Alexandria database. Energies are from PBE.

It has space group P1 (No. 1), with a = 6.0475 Å, b = 6.2054 Å, c = 6.3507 Å, α = 94.71°, β = 116.00° and γ = 116.38°. The inequivalent atoms are Bi at (0.0000, 0.0000, 0.0000), Bi at (0.3599, 0.6331, 0.9538), Ir at (0.1160, 0.6619, 0.2354), Ir at (0.6192, 0.3868, 0.2540), S at (0.0386, 0.7680, 0.5495), S at (0.3286, 0.4093, 0.4162), S at (0.5783, 0.0166, 0.3597) and S at (0.6840, 0.2861, 0.9396).

Its raw formation energy is -0.12 eV/atom.

=====

(6)
Here is an optimized crystal structure of AcPm6Si2 from the Alexandria database. Energies are from PBE.

It has space group P4/mmm (No. 123), with a = 4.7751 Å, b = 4.7751 Å, c = 12.0946 Å, α = 90.00°, β = 90.00° and γ = 90.00°. The inequivalent atoms are Ac at (0.0000, 0.0000, 0.0000), Pm at (0.0000, 0.0000, 0.5000), Pm at (0.0000, 0.5000, 0.2634), Pm at (0.5000, 0.5000, 0.5000) and Si at (0.5000, 0.5000, 0.0999).

Its raw formation energy is -0.23 eV/atom.

=====

(7)
Here is an optimized crystal structure of MgTlSi2 from the Alexandria database. Energies are from PBE.

It has space group Imm2 (No. 44), with a = 3.6604 Å, b = 4.1956 Å, c = 11.7825 Å, α = 90.00°, β = 90.00° and γ = 90.00°. The inequivalent atoms are Mg at (0.0000, 0.0000, 0.0000), Tl at (0.0000, 0.5000, 0.2128), Si at (0.0000, 0.0000, 0.4655) and Si at (0.0000, 0.5000, 0.8344).

Its raw formation energy is 0.21 eV/atom. The value obtained for the polymorph energy (0 for the lowest one) is 56 meV/atom.